(1)
# PBE-GGA BaNa2PO4, relaxed
data_BaNa2PO4
_chemical_formula_sum 'Ba2 Na4 P2 O8'
_cell_length_a 5.763
_cell_length_b 5.763
_cell_length_c 8.852
_cell_angle_alpha 90.00
_cell_angle_beta 90.00
_cell_angle_gamma 90.00
_space_group_name_H-M_alt 'I -4'
_space_group_IT_number 82
loop_
_space_group_symop_operation_xyz
'x,y,z'
'y,-x,-z'
'-x,-y,z'
'-y,x,-z'
'x+1/2,y+1/2,z+1/2'
'y+1/2,-x+1/2,-z+1/2'
'-x+1/2,-y+1/2,z+1/2'
'-y+1/2,x+1/2,-z+1/2'
loop_
_atom_site_label
_atom_site_type_symbol
_atom_site_fract_x
_atom_site_fract_y
_atom_site_fract_z
Ba1 Ba 0.000 0.000 0.000
Na1 Na 0.000 0.000 0.500
Na2 Na 0.000 0.500 0.750
P1 P 0.000 0.500 0.250
O1 O 0.136 0.322 0.351
# Fermi-level density of states = 4.87 states/eV/cell
# E_form (uncorrected) = -198 kJ/mol of atoms


(2)
# PBE-GGA BaNaPO2, relaxed
data_BaNaPO2
_chemical_formula_sum 'Ba1 Na1 P1 O2'
_cell_length_a 4.912
_cell_length_b 4.912
_cell_length_c 6.356
_cell_angle_alpha 90.00
_cell_angle_beta 90.00
_cell_angle_gamma 90.00
_space_group_name_H-M_alt 'P 4/m m m'
_space_group_IT_number 123
_space_group_name_Hall '-P 4 2'
loop_
_atom_site_label
_atom_site_type_symbol
_atom_site_fract_x
_atom_site_fract_y
_atom_site_fract_z
Ba1 Ba 0.000 0.000 0.000
Na1 Na 0.500 0.500 0.500
P1 P 0.000 0.000 0.500
O1 O 0.000 0.500 0.000
# Fermi-level density of states = 3.25 states/eV/cell
# E_form (uncorrected) = -13 kJ/mol of atoms
# E above lowest polymorph = 0.106 eV/atom


(3)
# PBE-GGA BaNaPO2, relaxed
data_BaNaPO2
_chemical_formula_sum 'Ba1 Na1 P1 O2'
_cell_length_a 4.597
_cell_length_b 4.597
_cell_length_c 5.007
_cell_angle_alpha 90.00
_cell_angle_beta 90.00
_cell_angle_gamma 90.00
_space_group_name_H-M_alt 'P 4/m m m'
_space_group_IT_number 123
_space_group_name_Hall '-P 4 2'
loop_
_atom_site_label
_atom_site_type_symbol
_atom_site_fract_x
_atom_site_fract_y
_atom_site_fract_z
Ba1 Ba 0.000 0.000 0.000
Na1 Na 0.500 0.500 0.500
P1 P 0.500 0.500 0.000
O1 O 0.000 0.500 0.500
# Fermi-level density of states = 3.87 states/eV/cell
# E_form (uncorrected) = -24 kJ/mol of atoms
# E above lowest polymorph = 0.000 eV/atom


(4)
# PBE-GGA BaNaP2O6, relaxed
data_BaNaP2O6
_chemical_formula_sum 'Ba4 Na4 P8 O24'
_cell_length_a 10.337
_cell_length_b 10.131
_cell_length_c 5.979
_cell_angle_alpha 90.00
_cell_angle_beta 105.46
_cell_angle_gamma 90.00
_space_group_name_H-M_alt 'C 1 2/c 1'
_space_group_IT_number 15
loop_
_space_group_symop_operation_xyz
'x,y,z'
'-x,-y,-z'
'-x,y,-z+1/2'
'x,-y,z+1/2'
'x+1/2,y+1/2,z'
'-x+1/2,-y+1/2,-z'
'-x+1/2,y+1/2,-z+1/2'
'x+1/2,-y+1/2,z+1/2'
loop_
_atom_site_label
_atom_site_type_symbol
_atom_site_fract_x
_atom_site_fract_y
_atom_site_fract_z
Ba1 Ba 0.000 0.189 0.250
Na1 Na 0.000 0.403 0.750
P1 P 0.221 0.084 0.766
O1 O 0.126 0.413 0.154
O2 O 0.153 0.218 0.703
O3 O 0.165 0.020 0.059
# Fermi-level density of states = 6.54 states/eV/cell
# E_form (uncorrected) = -212 kJ/mol of atoms


(5)
# PBE-GGA BaNa3P2O8, relaxed
data_BaNa3P2O8
_chemical_formula_sum 'Ba1 Na3 P2 O8'
_cell_length_a 5.6195
_cell_length_b 5.6195
_cell_length_c 7.1813
_cell_angle_alpha 90.00
_cell_angle_beta 90.00
_cell_angle_gamma 120.00
_space_group_name_H-M_alt 'P -3 m 1'
_space_group_IT_number 164
_space_group_name_Hall '-P 3 2"'
loop_
_atom_site_label
_atom_site_type_symbol
_atom_site_fract_x
_atom_site_fract_y
_atom_site_fract_z
Ba1 Ba 0.0000 0.0000 0.0000
Na1 Na 0.0000 0.0000 0.5000
Na2 Na 0.3333 0.6667 0.6760
P1 P 0.3333 0.6667 0.2214
O1 O 0.1839 0.3677 0.2969
O2 O 0.3333 0.6667 0.0054
# Fermi-level density of states = 11.85 states/eV/cell
# E_form (uncorrected) = -221 kJ/mol of atoms


(6)
# PBE-GGA BaNaY2P2O8, relaxed
data_BaNaY2P2O8
_chemical_formula_sum 'Ba1 Na1 Y2 P2 O8'
_cell_length_a 5.3651
_cell_length_b 5.3651
_cell_length_c 8.5445
_cell_angle_alpha 90.00
_cell_angle_beta 90.00
_cell_angle_gamma 120.00
_space_group_name_H-M_alt 'P -3 m 1'
_space_group_IT_number 164
_space_group_name_Hall '-P 3 2"'
loop_
_atom_site_label
_atom_site_type_symbol
_atom_site_fract_x
_atom_site_fract_y
_atom_site_fract_z
Ba1 Ba 0.0000 0.0000 0.0000
Na1 Na 0.0000 0.0000 0.5000
Y1 Y 0.3333 0.6667 0.7049
P1 P 0.3333 0.6667 0.1797
O1 O 0.1771 0.3543 0.2442
O2 O 0.3333 0.6667 0.9959
# Fermi-level density of states = 5.35 states/eV/cell
# E_form (uncorrected) = -221 kJ/mol of atoms


(7)
# PBE-GGA Ba2NaPaO4, relaxed
data_Ba2NaPaO4
_chemical_formula_sum 'Ba2 Na1 Pa1 O4'
_cell_length_a 6.200
_cell_length_b 3.671
_cell_length_c 6.667
_cell_angle_alpha 90.00
_cell_angle_beta 107.72
_cell_angle_gamma 90.00
_space_group_name_H-M_alt 'P 1 2/m 1'
_space_group_IT_number 10
loop_
_space_group_symop_operation_xyz
'x,y,z'
'-x,-y,-z'
'-x,y,-z'
'x,-y,z'
loop_
_atom_site_label
_atom_site_type_symbol
_atom_site_fract_x
_atom_site_fract_y
_atom_site_fract_z
Ba1 Ba 0.000 0.000 0.000
Ba2 Ba 0.500 0.500 0.000
Na1 Na 0.000 0.500 0.500
Pa1 Pa 0.500 0.000 0.500
O1 O 0.279 0.000 0.689
O2 O 0.297 0.500 0.317
# Fermi-level density of states = 3.68 states/eV/cell
# E_form (uncorrected) = -239 kJ/mol of atoms


(8)
# PBE-GGA Ba4NaPa3O12, relaxed
data_Ba4NaPa3O12
_chemical_formula_sum 'Ba8 Na2 Pa6 O24'
_cell_length_a 8.931
_cell_length_b 8.931
_cell_length_c 8.931
_cell_angle_alpha 90.00
_cell_angle_beta 90.00
_cell_angle_gamma 90.00
_space_group_name_H-M_alt 'I m -3 m'
_space_group_IT_number 229
_space_group_name_Hall '-I 4 2 3'
loop_
_atom_site_label
_atom_site_type_symbol
_atom_site_fract_x
_atom_site_fract_y
_atom_site_fract_z
Ba1 Ba 0.250 0.250 0.250
Na1 Na 0.000 0.000 0.000
Pa1 Pa 0.000 0.000 0.500
O1 O 0.000 0.000 0.269
O2 O 0.000 0.250 0.500
# Fermi-level density of states = 0.00 states/eV/cell
# E_form (uncorrected) = -306 kJ/mol of atoms


(9)
# PBE-GGA BaNa3Pa4O12, relaxed
data_BaNa3Pa4O12
_chemical_formula_sum 'Ba2 Na6 Pa8 O24'
_cell_length_a 8.567
_cell_length_b 8.567
_cell_length_c 8.567
_cell_angle_alpha 90.00
_cell_angle_beta 90.00
_cell_angle_gamma 90.00
_space_group_name_H-M_alt 'I m -3'
_space_group_IT_number 204
_space_group_name_Hall '-I 2 2 3'
loop_
_atom_site_label
_atom_site_type_symbol
_atom_site_fract_x
_atom_site_fract_y
_atom_site_fract_z
Ba1 Ba 0.000 0.000 0.000
Na1 Na 0.000 0.000 0.500
Pa1 Pa 0.250 0.250 0.250
O1 O 0.000 0.287 0.195
# Fermi-level density of states = 16.62 states/eV/cell
# E_form (uncorrected) = -303 kJ/mol of atoms


(10)
# PBE-GGA Ba3Na2PaO6, relaxed
data_Ba3Na2PaO6
_chemical_formula_sum 'Ba3 Na2 Pa1 O6'
_cell_length_a 6.3915
_cell_length_b 6.3915
_cell_length_c 7.1474
_cell_angle_alpha 90.00
_cell_angle_beta 90.00
_cell_angle_gamma 120.00
_space_group_name_H-M_alt 'P -3 m 1'
_space_group_IT_number 164
_space_group_name_Hall '-P 3 2"'
loop_
_atom_site_label
_atom_site_type_symbol
_atom_site_fract_x
_atom_site_fract_y
_atom_site_fract_z
Ba1 Ba 0.0000 0.0000 0.0000
Ba2 Ba 0.3333 0.6667 0.5989
Na1 Na 0.3333 0.6667 0.1548
Pa1 Pa 0.0000 0.0000 0.5000
O1 O 0.1599 0.3198 0.3196
# Fermi-level density of states = 1.47 states/eV/cell
# E_form (uncorrected) = -239 kJ/mol of atoms


(11)
# PBE-GGA Ba2Na3PaO6, relaxed
data_Ba2Na3PaO6
_chemical_formula_sum 'Ba4 Na6 Pa2 O12'
_cell_length_a 6.486
_cell_length_b 11.706
_cell_length_c 6.034
_cell_angle_alpha 90.00
_cell_angle_beta 109.47
_cell_angle_gamma 90.00
_space_group_name_H-M_alt 'C 1 2/m 1'
_space_group_IT_number 12
loop_
_space_group_symop_operation_xyz
'x,y,z'
'-x,-y,-z'
'-x,y,-z'
'x,-y,z'
'x+1/2,y+1/2,z'
'-x+1/2,-y+1/2,-z'
'-x+1/2,y+1/2,-z'
'x+1/2,-y+1/2,z'
loop_
_atom_site_label
_atom_site_type_symbol
_atom_site_fract_x
_atom_site_fract_y
_atom_site_fract_z
Ba1 Ba 0.000 0.170 0.000
Na1 Na 0.000 0.000 0.500
Na2 Na 0.000 0.368 0.500
Pa1 Pa 0.000 0.500 0.000
O1 O 0.204 0.365 0.222
O2 O 0.223 0.500 0.788
# Fermi-level density of states = 0.00 states/eV/cell
# E_form (uncorrected) = -242 kJ/mol of atoms


(12)
# PBE-GGA BaNa2PbO4, relaxed
data_BaNa2PbO4
_chemical_formula_sum 'Ba2 Na4 Pb2 O8'
_cell_length_a 6.059
_cell_length_b 6.059
_cell_length_c 7.592
_cell_angle_alpha 90.00
_cell_angle_beta 90.00
_cell_angle_gamma 90.00
_space_group_name_H-M_alt 'I -4 2 m'
_space_group_IT_number 121
_space_group_name_Hall 'I -4 2'
loop_
_atom_site_label
_atom_site_type_symbol
_atom_site_fract_x
_atom_site_fract_y
_atom_site_fract_z
Ba1 Ba 0.000 0.000 0.000
Na1 Na 0.000 0.500 0.250
Pb1 Pb 0.000 0.000 0.500
O1 O 0.208 0.208 0.649
# Fermi-level density of states = 0.00 states/eV/cell
# E_form (uncorrected) = -153 kJ/mol of atoms